1.
Crystalline Ni5H8Pd at its relaxed geometry. Source: Alexandria, functional PBE-GGA.

As for the magnetic moment: 0.0 μB per formula unit. The calculation puts the electronic total energy at -4.360 eV/atom.

The structure belongs to space group P-1 (No. 2); the cell edges are 2.808, 5.008 and 7.054 Å and the angles 103.25°, 90.14° and 90.02°. Symmetry generates all atoms from Ni at (0.000, 0.000, 0.000), Ni at (0.001, 0.213, 0.650), Ni at (0.499, 0.284, 0.344), H at (0.000, 0.129, 0.393), H at (0.000, 0.268, 0.888), H at (0.499, 0.825, 0.894), H at (0.500, 0.372, 0.603) and Pd at (0.500, 0.500, 0.000).

2.
Crystalline Be2TlNi at its relaxed geometry. Source: Alexandria, functional PBE-GGA.

The formation energy is 0.28 eV/atom. As for the magnetic moment: 0.0 μB per formula unit. The relative energy among the computed polymorphs is 0.125 eV/atom. The calculation puts the electronic total energy at -3.620 eV/atom.

The structure belongs to space group Pm (No. 6); the cell edges are 2.884, 3.356 and 5.804 Å and the angles 90.00°, 90.07° and 90.00°. Symmetry generates all atoms from Be at (0.000, 0.000, 0.000), Be at (0.000, 0.500, 0.261), Tl at (0.503, 0.500, 0.696) and Ni at (0.500, 0.000, 0.291).

3.
Crystalline BeGaRu2 at its relaxed geometry. Source: Alexandria, functional PBE-GGA.

The formation energy is -0.11 eV/atom. As for the magnetic moment: 0.0 μB per formula unit. The calculation puts the electronic total energy at -6.433 eV/atom.

The structure belongs to space group R3m (No. 160, hexagonal axes); the cell edges are 2.8393, 2.8393 and 22.1663 Å and the angles 90.00°, 90.00° and 120.00°. Symmetry generates all atoms from Be at (0.0000, 0.0000, 0.0000), Ga at (0.0000, 0.0000, 0.1666), Ru at (0.0000, 0.0000, 0.4089) and Ru at (0.0000, 0.0000, 0.5908).

4.
Crystalline Tl2ZnAu at its relaxed geometry. Source: Alexandria, functional PBE-GGA.

The formation energy is 0.05 eV/atom. As for the magnetic moment: 0.0 μB per formula unit. The relative energy among the computed polymorphs is 0.058 eV/atom. The calculation puts the electronic total energy at -2.276 eV/atom.

The structure belongs to space group Imm2 (No. 44); the cell edges are 3.338, 5.424 and 10.704 Å and the angles 90.00°, 90.00° and 90.00°. Symmetry generates all atoms from Tl at (0.000, 0.000, 0.000), Tl at (0.000, 0.500, 0.205), Zn at (0.000, 0.500, 0.761) and Au at (0.000, 0.000, 0.451).

5.
Crystalline Rb2PmMgBr6 at its relaxed geometry. Source: Alexandria, functional PBE-GGA.

As for the magnetic moment: 0.9 μB per formula unit. The calculation puts the electronic total energy at -3.377 eV/atom. For the uncorrected formation energy, the calculation gives -1.546 eV per atom.

The structure belongs to space group Immm (No. 71); the cell edges are 7.960, 7.981 and 11.270 Å and the angles 90.00°, 90.00° and 90.00°. Symmetry generates all atoms from Rb at (0.000, 0.000, 0.250), Pm at (0.000, 0.500, 0.000), Mg at (0.000, 0.500, 0.500), Br at (0.000, 0.500, 0.260) and Br at (0.240, 0.260, 0.500).

6.
Crystalline Cs2TlSe8 at its relaxed geometry. Source: Alexandria, functional PBE-GGA.

As for the magnetic moment: 0.0 μB per formula unit. The calculation puts the electronic total energy at -3.319 eV/atom. For the uncorrected formation energy, the calculation gives -0.415 eV per atom.

The structure belongs to space group P-1 (No. 2); the cell edges are 6.473, 7.402 and 10.010 Å and the angles 105.37°, 101.11° and 107.63°. Symmetry generates all atoms from Cs at (0.237, 0.357, 0.184), Tl at (0.500, 0.000, 0.500), Se at (0.159, 0.844, 0.197), Se at (0.194, 0.675, 0.610), Se at (0.199, 0.224, 0.753) and Se at (0.340, 0.982, 0.816).

7.
Crystalline B3Mo4 at its relaxed geometry. Source: Alexandria, functional PBE-GGA.

The formation energy is -0.32 eV/atom. As for the magnetic moment: 0.0 μB per formula unit. The calculation puts the electronic total energy at -9.369 eV/atom.

The structure belongs to space group C2/m (No. 12); the cell edges are 11.477, 3.094 and 4.680 Å and the angles 90.00°, 100.76° and 90.00°. Symmetry generates all atoms from B at (0.000, 0.000, 0.000), B at (0.235, 0.000, 0.395), Mo at (0.077, 0.500, 0.299) and Mo at (0.163, 0.000, 0.834).